# NiMo3O

An optimized crystal structure of NiMo3O (PBE with a Hubbard U, the Alexandria database).

N(E_F)	4.43	states/eV per cell
ΔE to the lowest computed polymorph	0.0000	eV per atom

CIF file:
```
data_NiMo3O
_cell_length_a 4.096
_cell_length_b 4.096
_cell_length_c 4.096
_cell_angle_alpha 90.00
_cell_angle_beta 90.00
_cell_angle_gamma 90.00
_symmetry_space_group_name_H-M 'P m -3 m'
_symmetry_Int_Tables_number 221
_symmetry_space_group_name_Hall '-P 4 2 3'
loop_
_atom_site_label
_atom_site_fract_x
_atom_site_fract_y
_atom_site_fract_z
_atom_site_occupancy
Ni1 0.000 0.000 0.000 1
Mo1 0.000 0.500 0.500 1
O1 0.500 0.500 0.500 1
```